# 1
TmCuIr | PBE-GGA | optimized geometry

Output
The total DFT energy (no corrections) comes out at -6.29 eV/atom. The value obtained for the energy above the most stable polymorph in this dataset is 0.43 eV per formula unit. As for the space group: P-6m2 (187). As for the energy of formation from the pure elements: -46.31 kJ per mole of atoms.

abc: 4.284 4.284 3.435
angles: 90.00 90.00 120.00
Atoms (fractional coordinates):
Tm 0.000 0.000 0.000
Cu 0.333 0.667 0.500
Ir 0.667 0.333 0.500


# 2
Ta4Tl2Se7 | PBE-GGA | optimized geometry

Output
The total DFT energy (no corrections) comes out at -6.31 eV/atom. As for the space group: P-1 (2).

abc: 6.379 6.383 8.234
angles: 90.90 91.15 112.73
Atoms (fractional coordinates):
Ta 0.036 0.036 0.333
Ta 0.273 0.727 0.500
Ta 0.727 0.273 0.500
Ta 0.964 0.964 0.667
Tl 0.345 0.658 0.002
Tl 0.655 0.342 0.998
Se 0.000 0.000 0.000
Se 0.032 0.429 0.279
Se 0.312 0.312 0.586
Se 0.429 0.034 0.279
Se 0.571 0.966 0.721
Se 0.688 0.688 0.414
Se 0.968 0.571 0.721


> total DFT energy (no corrections) of number 2 (Ta4Tl2Se7)?

-6.31 eV/atom


> What is the total DFT energy (no corrections) in the second record?

-6.31 eV/atom